Entry 1:
Hf2MnCrS: PBEsol geometry, meta-GGA SCAN.

```
5
Lattice="4.0927 0.0000 0.0000 0.0000 4.8259 0.0000 0.0000 0.0000 4.8259" Properties=species:S:1:pos:R:3 pbc="T T T"
Cr 0.0000 0.0000 0.0000
S 2.0463 0.0000 0.0000
Mn 2.0463 2.4130 2.4130
Hf 0.0000 0.0000 2.4130
Hf 0.0000 2.4130 0.0000
```

DOS(E_F)	5.6	states/eV/f.u.
energy relative to the elements, uncorrected	467	meV/atom



Entry 2:
HfMn2CrSi: PBEsol geometry, meta-GGA SCAN.

```
5
Lattice="-2.8228 -1.8969 2.5454 3.0636 -2.5204 1.5191 0.9498 3.2485 3.4742" Properties=species:S:1:pos:R:3 pbc="T T T"
Cr 0.5953 -0.5844 3.7694
Si 0.0000 0.0000 0.0000
Mn 1.5318 -1.2602 0.7596
Mn -1.4114 -0.9485 1.2727
Hf 0.4749 1.6243 1.7371
```

DOS(E_F)	4.7	states/eV/f.u.
energy relative to the elements, uncorrected	600	meV/atom



Entry 3:
HfCrNO2: PBEsol geometry, meta-GGA SCAN.

```
5
Lattice="3.6153 0.0000 0.0000 0.0000 3.6153 0.0000 0.0000 0.0000 3.8218" Properties=species:S:1:pos:R:3 pbc="T T T"
Cr 0.0000 0.0000 0.0000
Hf 1.8077 1.8077 1.9109
O 0.0000 1.8077 0.0000
O 1.8077 0.0000 0.0000
N 0.0000 0.0000 1.9109
```

DOS(E_F)	1.2	states/eV/f.u.
energy relative to the elements, uncorrected	-1626	meV/atom



Entry 4:
YHfCr2N: PBEsol geometry, meta-GGA SCAN.

```
5
Lattice="-2.0925 0.6850 -3.2626 -2.1686 -3.2053 0.7179 -2.9775 2.5627 2.4477" Properties=species:S:1:pos:R:3 pbc="T T T"
Y -1.4888 1.2814 1.2238
Cr -1.0843 -1.6027 0.3590
Cr -1.0463 0.3425 -1.6313
Hf -3.6193 0.0212 -0.0485
N 0.0000 0.0000 0.0000
```

DOS(E_F)	4.1	states/eV/f.u.
energy relative to the elements, uncorrected	22	meV/atom



Entry 5:
NaHfCrO2: PBEsol geometry, meta-GGA SCAN.

```
5
Lattice="-0.8825 3.6935 0.2169 0.1513 -0.1867 3.7960 4.7791 1.1497 -0.1339" Properties=species:S:1:pos:R:3 pbc="T T T"
Cr 0.0000 0.0000 0.0000
Hf 2.3896 0.5749 -0.0669
O 0.0756 -0.0934 1.8980
O -0.4412 1.8467 0.1084
Na 2.0240 2.3282 1.9395
```

DOS(E_F)	3.2	states/eV/f.u.
energy relative to the elements, uncorrected	-124	meV/atom



Entry 6:
Hf3CrO: PBEsol geometry, meta-GGA SCAN.

```
5
Lattice="4.6744 0.0000 0.0000 0.0000 4.6744 0.0000 0.0000 0.0000 4.6744" Properties=species:S:1:pos:R:3 pbc="T T T"
Cr 0.0000 0.0000 0.0000
Hf 0.0000 2.3372 0.0000
Hf 0.0000 0.0000 2.3372
Hf 2.3372 0.0000 0.0000
O 2.3372 2.3372 2.3372
```

DOS(E_F)	5.8	states/eV/f.u.
energy relative to the elements, uncorrected	919	meV/atom



Entry 7:
HfCrO3: PBEsol geometry, meta-GGA SCAN.

```
5
Lattice="4.0322 0.0000 0.0000 0.0000 4.0322 0.0000 0.0000 0.0000 4.0322" Properties=species:S:1:pos:R:3 pbc="T T T"
Cr 2.0161 2.0161 2.0161
Hf 0.0000 0.0000 0.0000
O 0.0000 2.0161 0.0000
O 0.0000 0.0000 2.0161
O 2.0161 0.0000 0.0000
```

DOS(E_F)	5.1	states/eV/f.u.
energy relative to the elements, uncorrected	-2331	meV/atom



Entry 8:
HfCrO3: PBEsol geometry, meta-GGA SCAN.

```
20
Lattice="-4.6638 0.4990 0.9521 -1.1758 -2.7766 -4.3042 0.1797 -7.6863 4.9092" Properties=species:S:1:pos:R:3 pbc="T T T"
Hf -1.2049 -8.3812 -0.3657
Hf -2.5056 -6.7909 2.1720
Hf -3.1543 -3.1730 -0.6149
Hf -4.4550 -1.5826 1.9227
Cr -0.4980 -5.2315 0.3025
Cr -2.2421 -3.5937 2.9306
Cr -0.5879 -1.3883 -2.1521
Cr -2.3319 0.2495 0.4760
O -1.2420 -2.8752 -0.2186
O -2.4722 -4.1947 -2.2396
O -3.1877 -5.7691 3.7967
O -4.4179 -7.0887 1.7757
O -1.1264 -5.1179 2.2017
O -1.0726 -7.4207 3.6725
O -2.0934 -6.4656 0.1270
O -2.0396 -8.7684 1.5978
O -3.6203 -1.1954 -0.0407
O -3.5664 -3.4983 1.4301
O -4.5873 -2.5432 -2.1155
O -4.5335 -4.8460 -0.6447
```

DOS(E_F)	0.1	states/eV/f.u.
energy relative to the elements, uncorrected	-2980	meV/atom



Entry 9:
Hf2CrSnO: PBEsol geometry, meta-GGA SCAN.

```
5
Lattice="-4.3262 0.7619 -1.8971 -2.2373 -1.9266 4.3281 -0.0747 4.8002 2.0981" Properties=species:S:1:pos:R:3 pbc="T T T"
Cr -2.1631 0.3809 -0.9486
Hf -0.0373 2.4001 1.0491
Hf -1.1186 -0.9633 2.1641
Sn 0.0000 0.0000 0.0000
O -3.3191 1.8178 2.2646
```

DOS(E_F)	5.9	states/eV/f.u.
energy relative to the elements, uncorrected	1584	meV/atom



Entry 10:
HfCrP: PBEsol geometry, meta-GGA SCAN.

```
12
Lattice="3.5808 0.0000 0.0000 0.0000 6.2914 0.0000 0.0000 0.0000 7.4526" Properties=species:S:1:pos:R:3 pbc="T T T"
Cr 0.8952 4.0176 0.4321
Cr 2.6856 2.2737 7.0205
Cr 0.8952 0.8720 3.2942
Cr 2.6856 5.4194 4.1584
Hf 2.6856 6.0827 1.2930
Hf 0.8952 0.2086 6.1596
Hf 2.6856 2.9371 2.4333
Hf 0.8952 3.3543 5.0193
P 2.6856 1.4477 4.7186
P 0.8952 4.8436 2.7340
P 2.6856 4.5934 6.4603
P 0.8952 1.6980 0.9923
```

formation energy	-2.84	eV per formula unit
DOS(E_F)	2.0	states/eV/f.u.



Entry 11:
HfCr3Pb: PBEsol geometry, meta-GGA SCAN.

```
5
Lattice="-0.4712 4.8542 -0.6268 -4.8940 -0.4582 0.1300 0.0699 0.6363 4.8753" Properties=species:S:1:pos:R:3 pbc="T T T"
Pb 0.0000 0.0000 0.0000
Cr -2.4470 -0.2291 0.0650
Cr 0.0350 0.3182 2.4377
Cr -0.2356 2.4271 -0.3134
Hf -2.6476 2.5162 2.1892
```

formation energy	7.39	eV per formula unit
DOS(E_F)	6.0	states/eV/f.u.



Entry 12:
HfCrPb3: PBEsol geometry, meta-GGA SCAN.

```
5
Lattice="-1.2356 -1.6653 4.6567 3.3891 -3.7807 -0.4527 3.6017 2.9863 2.0236" Properties=species:S:1:pos:R:3 pbc="T T T"
Pb 1.6946 -1.8904 -0.2264
Pb 1.8008 1.4932 1.0118
Pb -0.6178 -0.8326 2.3284
Cr 0.0000 0.0000 0.0000
Hf 2.8776 -1.2298 3.1138
```

formation energy	3.95	eV per formula unit
DOS(E_F)	3.9	states/eV/f.u.



- DOS(E_F) of number 8 (HfCrO3)?
  0.1 states/eV/f.u.